{"formula": "ScCoRh2", "functional": "PBE", "state": "optimized geometry", "e_tot_ev_per_atom": -7.358, "magnetic_moment_mub_per_fu": 1.3, "ef_ev_per_atom": -0.323, "dos_at_fermi_per_ev_cell": 5.166, "lattice": [[-2.176, 1.095, -1.577], [-0.685, -4.168, -1.948], [-3.278, -4.039, 1.719]], "species": ["Rh", "Rh", "Sc", "Co"], "frac_coords": [[0.000, 0.000, 0.000], [0.500, 0.500, 0.000], [0.500, 0.500, 0.500], [0.000, 0.000, 0.500]]}

---

{"formula": "BaY2Mo", "functional": "PBE", "state": "optimized geometry", "e_tot_ev_per_atom": -5.865, "magnetic_moment_mub_per_fu": 0.0, "de_polymorph_ev_per_atom": 0.2146, "ef_ev_per_atom": 0.555, "dos_at_fermi_per_ev_cell": 6.037, "lattice": [[4.596, -0.014, 0.003], [3.248, 3.251, 0.003], [0.868, 0.358, 8.910]], "species": ["Y", "Y", "Ba", "Mo"], "frac_coords": [[0.524, 0.524, 0.415], [0.976, 0.976, 0.085], [0.750, 0.750, 0.750], [0.250, 0.250, 0.250]]}

---

{"formula": "CeMgZr", "functional": "PBE", "state": "optimized geometry", "e_tot_ev_per_atom": -4.901, "magnetic_moment_mub_per_fu": 1.0, "de_polymorph_ev_per_atom": 0.4266, "ef_ev_per_atom": 0.458, "dos_at_fermi_per_ev_cell": 16.163, "lattice": [[-2.820, -2.567, 1.403], [1.926, -0.164, 3.573], [-5.703, 8.150, 3.448]], "species": ["Ce", "Ce", "Zr", "Zr", "Mg", "Mg"], "frac_coords": [[0.500, 0.000, 0.243], [0.000, 0.500, 0.757], [0.500, 0.500, 0.000], [0.000, 0.000, 0.000], [0.500, 0.000, 0.570], [0.000, 0.500, 0.430]]}

---

{"formula": "Ca2GaRuCl", "functional": "PBE", "state": "optimized geometry", "e_tot_ev_per_atom": -3.684, "magnetic_moment_mub_per_fu": 0.0, "dos_at_fermi_per_ev_cell": 4.189, "formation_energy_uncorrected_kj_per_mol_fu": -26, "lattice": [[4.958, 0.000, 0.000], [0.000, 4.762, 0.000], [0.000, 0.000, 4.958]], "species": ["Cl", "Ca", "Ca", "Ru", "Ga"], "frac_coords": [[0.000, 0.000, 0.000], [0.500, 0.000, 0.000], [0.000, 0.000, 0.500], [0.000, 0.500, 0.000], [0.500, 0.500, 0.500]]}

---

{"formula": "Ag2IrN2", "functional": "PBE", "state": "optimized geometry", "e_tot_ev_per_atom": -4.970, "magnetic_moment_mub_per_fu": 0.6, "dos_at_fermi_per_ev_cell": 6.930, "formation_energy_uncorrected_kj_per_mol_fu": 614, "lattice": [[-2.431, 2.409, -3.021], [-3.797, -0.831, 2.393], [-2.520, 3.944, 1.724]], "species": ["Ag", "Ag", "N", "N", "Ir"], "frac_coords": [[0.750, 0.250, 0.500], [0.250, 0.750, 0.500], [0.575, 0.575, 0.850], [0.425, 0.425, 0.150], [0.000, 0.000, 0.000]]}

---

{"formula": "Cs3Er3TmTe8", "functional": "PBE", "state": "optimized geometry", "e_tot_ev_per_atom": -4.367, "magnetic_moment_mub_per_fu": 0.0, "dos_at_fermi_per_ev_cell": 6.726, "formation_energy_uncorrected_kj_per_mol_fu": -1896, "lattice": [[-1.045, -7.754, 3.976], [7.805, 2.186, -3.376], [-2.440, 4.930, 8.974]], "species": ["Tm", "Te", "Te", "Te", "Te", "Te", "Te", "Te", "Te", "Cs", "Cs", "Cs", "Er", "Er", "Er"], "frac_coords": [[0.000, 0.000, 0.500], [0.770, 0.540, 0.311], [0.230, 0.460, 0.689], [0.270, 0.540, 0.311], [0.729, 0.959, 0.689], [0.271, 0.041, 0.311], [0.770, 0.041, 0.311], [0.730, 0.460, 0.689], [0.230, 0.959, 0.689], [0.000, 0.000, 0.000], [0.500, 0.500, 0.000], [0.000, 0.500, 0.000], [0.500, 0.000, 0.500], [0.000, 0.500, 0.500], [0.500, 0.500, 0.500]]}

---

{"formula": "Ba2OsPt", "functional": "PBE", "state": "optimized geometry", "e_tot_ev_per_atom": -4.805, "magnetic_moment_mub_per_fu": 1.3, "de_polymorph_ev_per_atom": 0.4927, "ef_ev_per_atom": 0.474, "dos_at_fermi_per_ev_cell": 3.306, "lattice": [[5.798, 0.000, 0.000], [0.000, 5.798, 0.000], [0.000, 0.000, 3.300]], "species": ["Ba", "Ba", "Os", "Pt"], "frac_coords": [[0.000, 0.000, 0.000], [0.500, 0.500, 0.000], [0.500, 0.000, 0.500], [0.000, 0.500, 0.500]]}

---

{"formula": "AgGeAu3", "functional": "PBE", "state": "optimized geometry", "e_tot_ev_per_atom": -3.088, "magnetic_moment_mub_per_fu": 0.0, "de_polymorph_ev_per_atom": 0.3461, "ef_ev_per_atom": 0.372, "dos_at_fermi_per_ev_cell": 1.296, "lattice": [[-2.621, -4.111, 0.060], [3.693, -2.322, 2.177], [-1.807, 1.216, 4.362]], "species": ["Au", "Au", "Au", "Ge", "Ag"], "frac_coords": [[0.000, 0.500, 0.000], [0.000, 0.000, 0.500], [0.500, 0.000, 0.000], [0.000, 0.000, 0.000], [0.500, 0.500, 0.500]]}

---

{"formula": "Al3InSi", "functional": "PBE", "state": "optimized geometry", "e_tot_ev_per_atom": -3.406, "magnetic_moment_mub_per_fu": 0.0, "de_polymorph_ev_per_atom": 0.0000, "dos_at_fermi_per_ev_cell": 2.662, "formation_energy_uncorrected_kj_per_mol_fu": 228, "lattice": [[-1.028, -3.371, -3.331], [4.670, -1.302, -0.123], [-0.808, -3.234, 3.522]], "species": ["Si", "In", "Al", "Al", "Al"], "frac_coords": [[0.000, 0.000, 0.000], [0.500, 0.500, 0.500], [0.000, 0.500, 0.000], [0.000, 0.000, 0.500], [0.500, 0.000, 0.000]]}

---

{"formula": "Th2OsPd", "functional": "PBE", "state": "optimized geometry", "e_tot_ev_per_atom": -8.346, "magnetic_moment_mub_per_fu": 0.0, "ef_ev_per_atom": -0.531, "dos_at_fermi_per_ev_cell": 8.659, "lattice": [[5.852, 0.000, 0.000], [0.000, 5.847, 0.220], [0.000, -0.447, 11.826]], "species": ["Os", "Os", "Os", "Os", "Th", "Th", "Th", "Th", "Th", "Th", "Th", "Th", "Pd", "Pd", "Pd", "Pd"], "frac_coords": [[0.750, 0.000, 0.625], [0.250, 0.500, 0.125], [0.250, 0.000, 0.375], [0.750, 0.500, 0.875], [0.750, 0.500, 0.635], [0.250, 0.500, 0.365], [0.750, 0.500, 0.115], [0.250, 0.000, 0.135], [0.750, 0.000, 0.865], [0.250, 0.500, 0.885], [0.750, 0.000, 0.385], [0.250, 0.000, 0.615], [0.250, 0.500, 0.625], [0.250, 0.000, 0.875], [0.750, 0.000, 0.125], [0.750, 0.500, 0.375]]}

---

{"formula": "AcDyPtPb", "functional": "PBE", "state": "optimized geometry", "e_tot_ev_per_atom": -5.253, "magnetic_moment_mub_per_fu": 0.0, "ef_ev_per_atom": -0.638, "dos_at_fermi_per_ev_cell": 1.515, "lattice": [[5.429, 0.000, 0.000], [2.714, 4.701, 0.000], [2.714, 1.567, 4.432]], "species": ["Pb", "Pt", "Ac", "Dy"], "frac_coords": [[0.500, 0.500, 0.500], [0.000, 0.000, 0.000], [0.750, 0.750, 0.750], [0.250, 0.250, 0.250]]}

---

{"formula": "Zn2H2W", "functional": "PBE", "state": "optimized geometry", "e_tot_ev_per_atom": -4.100, "magnetic_moment_mub_per_fu": 0.0, "de_polymorph_ev_per_atom": 0.0000, "dos_at_fermi_per_ev_cell": 0.941, "lattice": [[-1.742, 0.651, 5.012], [4.521, -2.169, 1.853], [1.604, 3.438, 0.111]], "species": ["W", "W", "H", "H", "H", "H", "Zn", "Zn", "Zn", "Zn"], "frac_coords": [[0.500, 0.500, 0.000], [0.000, 0.000, 0.000], [0.672, 0.172, 0.000], [0.828, 0.672, 0.000], [0.328, 0.828, 0.000], [0.172, 0.328, 0.000], [0.750, 0.250, 0.500], [0.250, 0.250, 0.500], [0.250, 0.750, 0.500], [0.750, 0.750, 0.500]]}